A plane-wave DFT calculation with GGA-PBE was carried out for a relaxed ZrFe2Rh2 crystal.

## Properties
Space-group type: I4/mmm, No. 139

a b c (Å): 7.1292 7.1292 7.1292
angles (deg): 152.30 152.30 39.58
Closest atoms and distances in Å follow each position.
Positions (direct):
Zr  0.0000  0.0000  0.0000  8 Rh 2.78
Fe  0.2500  0.7500  0.5000  4 Fe 2.41, 4 Rh 2.61
Fe  0.7500  0.2500  0.5000  4 Fe 2.41, 4 Rh 2.61
Rh  0.3968  0.3968  0.0000  4 Fe 2.61, 1 Rh 2.77, 4 Zr 2.78
Rh  0.6032  0.6032  0.0000  4 Fe 2.61, 1 Rh 2.77, 4 Zr 2.78

---

A plane-wave DFT calculation with GGA-PBE was carried out for a relaxed Ho2ThSn crystal.

## Properties
Space-group type: P4/mmm, No. 123

a b c (Å): 4.8832 4.8832 4.7505
angles (deg): 90.00 90.00 90.00
Closest atoms and distances in Å follow each position.
Positions (direct):
Ho  0.0000  0.5000  0.0000  4 Sn 3.41, 4 Th 3.41, 4 Ho 3.45
Ho  0.5000  0.0000  0.0000  4 Sn 3.41, 4 Th 3.41, 4 Ho 3.45
Th  0.0000  0.0000  0.5000  8 Ho 3.41, 4 Sn 3.45
Sn  0.5000  0.5000  0.5000  8 Ho 3.41, 4 Th 3.45

---

A plane-wave DFT calculation with GGA-PBE was carried out for a relaxed PmPr5Ga6 crystal.

## Properties
Space-group type: Cmmm, No. 65

a b c (Å): 8.3163 8.3163 7.4332
angles (deg): 90.00 90.00 143.18
Closest atoms and distances in Å follow each position.
Positions (direct):
Pm  0.0000  0.0000  0.0000  8 Ga 3.19-3.21
Pr  0.0000  0.0000  0.5000  8 Ga 3.21-3.23
Pr  0.3323  0.6677  0.5000  8 Ga 3.23-3.24
Pr  0.3336  0.6664  0.0000  8 Ga 3.21-3.23
Pr  0.6664  0.3336  0.0000  8 Ga 3.21-3.23
Pr  0.6677  0.3323  0.5000  8 Ga 3.23-3.24
Ga  0.1653  0.8347  0.2476  1 Pm 3.19, 7 Pr 3.21-3.23
Ga  0.1653  0.8347  0.7524  1 Pm 3.19, 7 Pr 3.21-3.23
Ga  0.5000  0.5000  0.2479  6 Pr 3.21-3.24, 2 Pm 3.21
Ga  0.5000  0.5000  0.7521  6 Pr 3.21-3.24, 2 Pm 3.21
Ga  0.8347  0.1653  0.2476  1 Pm 3.19, 7 Pr 3.21-3.23
Ga  0.8347  0.1653  0.7524  1 Pm 3.19, 7 Pr 3.21-3.23

---

A plane-wave DFT calculation with GGA-PBE was carried out for a relaxed Al2AgW crystal.

## Properties
Space-group type: I-4m2, No. 119

a b c (Å): 5.2398 5.2398 5.2398
angles (deg): 138.18 138.18 60.63
Closest atoms and distances in Å follow each position.
Positions (direct):
Al  0.0000  0.0000  0.0000  4 Ag 2.64, 4 Al 2.93, 4 W 2.93
Al  0.7500  0.2500  0.5000  4 W 2.64, 4 Al 2.93, 4 Ag 2.93
Ag  0.5000  0.5000  0.0000  8 Al 2.64-2.93, 4 W 2.93
W  0.2500  0.7500  0.5000  8 Al 2.64-2.93, 4 Ag 2.93

---

A plane-wave DFT calculation with GGA-PBE was carried out for a relaxed Nd12Dy5Sc2 crystal.

## Properties
Space-group type: C2/m, No. 12

a b c (Å): 10.3326 10.3326 9.9641
angles (deg): 115.32 115.32 42.29
Closest atoms and distances in Å follow each position.
Positions (direct):
Nd  0.0020  0.0020  0.2014  1 Dy 2.99, 2 Sc 3.03
Nd  0.0728  0.5969  0.5023  5 Nd 3.25-3.64
Nd  0.0870  0.5918  0.1525  6 Nd 3.39-3.76, 3 Dy 3.62-3.79
Nd  0.4031  0.9272  0.4977  5 Nd 3.25-3.64
Nd  0.4082  0.9130  0.8475  6 Nd 3.39-3.76, 3 Dy 3.62-3.79
Nd  0.4919  0.4919  0.6774  5 Nd 3.34-3.69, 2 Sc 3.46
Nd  0.5081  0.5081  0.3226  5 Nd 3.34-3.69, 2 Sc 3.46
Nd  0.5918  0.0870  0.1525  6 Nd 3.39-3.76, 3 Dy 3.62-3.79
Nd  0.5969  0.0728  0.5023  5 Nd 3.25-3.64
Nd  0.9130  0.4082  0.8475  6 Nd 3.39-3.76, 3 Dy 3.62-3.79
Nd  0.9272  0.4031  0.4977  5 Nd 3.25-3.64
Nd  0.9980  0.9980  0.7986  1 Dy 2.99, 2 Sc 3.03
Dy  0.0000  0.0000  0.5000  2 Nd 2.99
Dy  0.1730  0.1730  0.1702  8 Nd 3.45-3.79, 2 Dy 3.73, 2 Sc 3.74
Dy  0.3253  0.3253  0.8110  2 Sc 3.34, 4 Nd 3.69-3.72, 2 Dy 3.73
Dy  0.6747  0.6747  0.1890  2 Sc 3.34, 4 Nd 3.69-3.72, 2 Dy 3.73
Dy  0.8270  0.8270  0.8298  8 Nd 3.45-3.79, 2 Dy 3.73, 2 Sc 3.74
Sc  0.3060  0.6940  0.0000  1 Sc 2.89, 2 Nd 3.03
Sc  0.6940  0.3060  0.0000  1 Sc 2.89, 2 Nd 3.03

---

A plane-wave DFT calculation with GGA-PBE was carried out for a relaxed Pr3Dy2YS6 crystal.

## Properties
Space-group type: C2/m, No. 12

a b c (Å): 6.8900 6.8900 7.0416
angles (deg): 99.38 99.38 120.16
Closest atoms and distances in Å follow each position.
Positions (direct):
Pr  0.0000  0.0000  0.0000  6 S 2.90-2.91
Pr  0.3336  0.6664  0.0000  6 S 2.91
Pr  0.6664  0.3336  0.0000  6 S 2.91
Dy  0.1666  0.8334  0.5000  6 S 2.76
Dy  0.8334  0.1666  0.5000  6 S 2.76
Y  0.5000  0.5000  0.5000  6 S 2.77
S  0.0890  0.4230  0.2686  2 Dy 2.76, 1 Y 2.77, 3 Pr 2.91
S  0.2429  0.2429  0.7312  2 Dy 2.76, 1 Y 2.77, 3 Pr 2.90-2.91
S  0.4230  0.0890  0.2686  2 Dy 2.76, 1 Y 2.77, 3 Pr 2.91
S  0.5770  0.9110  0.7314  2 Dy 2.76, 1 Y 2.77, 3 Pr 2.91
S  0.7571  0.7571  0.2688  2 Dy 2.76, 1 Y 2.77, 3 Pr 2.90-2.91
S  0.9110  0.5770  0.7314  2 Dy 2.76, 1 Y 2.77, 3 Pr 2.91

---

A plane-wave DFT calculation with GGA-PBE was carried out for a relaxed Y2Mg crystal.

## Properties
Space-group type: P-6m2, No. 187

a b c (Å): 3.5234 3.5234 16.8493
angles (deg): 90.00 90.00 120.00
Closest atoms and distances in Å follow each position.
Positions (direct):
Y  0.0000  0.0000  0.0000  6 Mg 3.43, 6 Y 3.52
Y  0.0000  0.0000  0.3290  3 Mg 3.45, 9 Y 3.52-3.53
Y  0.0000  0.0000  0.6710  3 Mg 3.45, 9 Y 3.52-3.53
Y  0.3333  0.6667  0.5000  12 Y 3.52-3.53
Mg  0.3333  0.6667  0.1639  6 Y 3.43-3.45, 6 Mg 3.52
Mg  0.3333  0.6667  0.8361  6 Y 3.43-3.45, 6 Mg 3.52

---

A plane-wave DFT calculation with GGA-PBE was carried out for a relaxed LaTbPr2Tl2 crystal.

## Properties
Space-group type: Pmc2_1, No. 26

a b c (Å): 5.2844 10.3664 6.9833
angles (deg): 90.00 90.00 90.00
Closest atoms and distances in Å follow each position.
Positions (direct):
La  0.0000  0.0449  0.0000  5 Tl 3.34-3.59, 2 Tb 3.61, 2 La 3.61
La  0.0000  0.9551  0.5000  5 Tl 3.34-3.59, 2 Tb 3.61, 2 La 3.61
Tb  0.5000  0.1905  0.7226  4 Tl 3.25-3.32, 2 La 3.61
Tb  0.5000  0.8095  0.2226  4 Tl 3.25-3.32, 2 La 3.61
Pr  0.0000  0.3179  0.3726  4 Tl 3.29-3.38, 2 Pr 3.54
Pr  0.0000  0.6821  0.8726  4 Tl 3.29-3.38, 2 Pr 3.54
Pr  0.5000  0.4530  0.1001  5 Tl 3.36-3.69, 4 Pr 3.54-3.62
Pr  0.5000  0.5470  0.6001  5 Tl 3.36-3.69, 4 Pr 3.54-3.62
Tl  0.0000  0.3585  0.8392  2 Tb 3.27, 4 Pr 3.29-3.36, 1 La 3.44
Tl  0.0000  0.6415  0.3392  2 Tb 3.27, 4 Pr 3.29-3.36, 1 La 3.44
Tl  0.5000  0.1285  0.2659  2 Tb 3.25-3.32, 4 La 3.34-3.59, 3 Pr 3.38-3.56
Tl  0.5000  0.8715  0.7659  2 Tb 3.25-3.32, 4 La 3.34-3.59, 3 Pr 3.38-3.56

---

no.,DOS at the Fermi energy (states/eV per cell),calculated volume (A^3/atom),final energy (eV/atom)
1,4.1,15.63,-8.175
2,4.0,28.32,-5.509
3,5.7,25.68,-4.448
4,2.3,15.82,-5.696
5,31.9,33.48,-4.729
6,5.3,22.77,-6.581
7,9.6,30.19,-4.786
8,15.0,31.88,-4.248